[1]
A relaxed structure of PrHoErTh2. Source: the Alexandria database, functional PBE.

Summary:
Energy relative to the elements = 0.424 eV/atom

Unit cell a=6.686 b=15.770 c=6.682 alpha=90.00 beta=90.00 gamma=90.00
Space group Cmcm (No. 63)
Asymmetric unit:
Pr 0.000 0.152 0.250
Ho 0.000 0.285 0.750
Er 0.000 0.348 0.250
Th 0.243 0.500 0.000

[2]
A relaxed structure of Pr3Ho2Er6Th. Source: the Alexandria database, functional PBE.

Summary:
Energy relative to the elements = 0.022 eV/atom

Unit cell a=6.191 b=10.723 c=11.775 alpha=90.00 beta=100.12 gamma=90.00
Space group C2/m (No. 12)
Asymmetric unit:
Pr 0.000 0.000 0.000
Pr 0.000 0.333 0.000
Ho 0.000 0.167 0.500
Er 0.247 0.335 0.745
Er 0.248 0.500 0.255
Th 0.000 0.500 0.500

[3]
A relaxed structure of Pr2Ho5ErTh. Source: the Alexandria database, functional PBE.

Summary:
Energy relative to the elements = 0.169 eV/atom

Unit cell a=5.610 b=19.847 c=10.795 alpha=90.00 beta=90.00 gamma=90.00
Space group Cmc2_1 (No. 36)
Asymmetric unit:
Pr 0.000 0.115 0.000
Pr 0.000 0.115 0.418
Ho 0.000 0.015 0.710
Ho 0.000 0.280 0.997
Ho 0.000 0.299 0.392
Ho 0.000 0.390 0.704
Ho 0.000 0.480 0.421
Er 0.000 0.200 0.693
Th 0.000 0.417 0.142

[4]
A relaxed structure of Pr2HoEr4Th. Source: the Alexandria database, functional PBE.

Summary:
Energy relative to the elements = 0.036 eV/atom

Unit cell a=5.080 b=5.096 c=9.948 alpha=90.00 beta=90.00 gamma=90.00
Space group Pmmm (No. 47)
Asymmetric unit:
Pr 0.000 0.000 0.000
Pr 0.500 0.500 0.500
Ho 0.000 0.000 0.500
Er 0.000 0.500 0.247
Er 0.500 0.000 0.247
Th 0.500 0.500 0.000

[5]
A relaxed structure of PrHoEr3Th. Source: the Alexandria database, functional PBE.

Summary:
Energy relative to the elements = 0.029 eV/atom

Unit cell a=7.949 b=5.053 c=10.089 alpha=90.00 beta=108.92 gamma=90.00
Space group P2_1/m (No. 11)
Asymmetric unit:
Pr 0.168 0.250 0.292
Ho 0.499 0.250 0.628
Er 0.169 0.750 0.544
Er 0.174 0.750 0.042
Er 0.175 0.250 0.793
Th 0.498 0.750 0.879

[6]
A relaxed structure of Pr4Ho2ErTh. Source: the Alexandria database, functional PBE.

Summary:
Energy relative to the elements = 0.137 eV/atom

Unit cell a=6.042 b=6.043 c=7.388 alpha=90.00 beta=90.04 gamma=90.00
Space group P2/m (No. 10)
Asymmetric unit:
Pr 0.000 0.000 0.248
Pr 0.499 0.500 0.752
Ho 0.000 0.500 0.000
Ho 0.500 0.000 0.500
Er 0.000 0.500 0.500
Th 0.500 0.000 0.000

[7]
A relaxed structure of Pr2Ho4ErTh. Source: the Alexandria database, functional PBE.

Summary:
Energy relative to the elements = 0.119 eV/atom

Unit cell a=5.892 b=5.892 c=7.492 alpha=90.00 beta=90.00 gamma=90.00
Space group P4/mmm (No. 123)
Asymmetric unit:
Pr 0.000 0.000 0.000
Pr 0.500 0.500 0.500
Ho 0.000 0.500 0.250
Er 0.000 0.000 0.500
Th 0.500 0.500 0.000

[8]
A relaxed structure of Pr3Ho6ErTh2. Source: the Alexandria database, functional PBE.

Summary:
Energy relative to the elements = 0.018 eV/atom

Unit cell a=6.208 b=10.746 c=11.798 alpha=90.00 beta=100.11 gamma=90.00
Space group C2/m (No. 12)
Asymmetric unit:
Pr 0.000 0.000 0.000
Pr 0.000 0.334 0.000
Ho 0.244 0.000 0.744
Ho 0.250 0.169 0.256
Er 0.000 0.500 0.500
Th 0.000 0.167 0.500

[9]
A relaxed structure of PrHoErTh. Source: the Alexandria database, functional PBE.

Summary:
Energy relative to the elements = 0.016 eV/atom

Unit cell a=3.5959 b=3.5959 c=34.7191 alpha=90.00 beta=90.00 gamma=120.00
Space group R3m (No. 160, hexagonal axes)
Asymmetric unit:
Pr 0.0000 0.0000 0.0000
Ho 0.0000 0.0000 0.2472
Er 0.0000 0.0000 0.4200
Th 0.0000 0.0000 0.8336

[10]
A relaxed structure of Pr2HoEr2Th2. Source: the Alexandria database, functional PBE.

Summary:
Energy relative to the elements = 0.171 eV/atom

Unit cell a=17.782 b=3.482 c=8.547 alpha=90.00 beta=117.67 gamma=90.00
Space group C2/m (No. 12)
Asymmetric unit:
Pr 0.144 0.000 0.371
Ho 0.000 0.500 0.500
Er 0.210 0.500 0.801
Th 0.066 0.000 0.904

[11]
A relaxed structure of Pr5HoEr2Th. Source: the Alexandria database, functional PBE.

Summary:
Energy relative to the elements = 0.141 eV/atom

Unit cell a=5.440 b=21.701 c=10.671 alpha=90.00 beta=90.00 gamma=90.00
Space group Cmcm (No. 63)
Asymmetric unit:
Pr 0.000 0.000 0.000
Pr 0.000 0.126 0.250
Pr 0.000 0.222 0.557
Pr 0.000 0.498 0.750
Ho 0.000 0.102 0.750
Er 0.000 0.387 0.005
Th 0.000 0.288 0.250

[12]
A relaxed structure of Pr2HoEr5Th. Source: the Alexandria database, functional PBE.

Summary:
Energy relative to the elements = 0.296 eV/atom

Unit cell a=8.684 b=8.684 c=15.414 alpha=90.00 beta=90.00 gamma=90.00
Space group I4/mcm (No. 140)
Asymmetric unit:
Pr 0.117 0.383 0.000
Ho 0.000 0.500 0.250
Er 0.000 0.000 0.000
Er 0.214 0.286 0.359
Th 0.000 0.000 0.250

| no. | magnetization (μB/cell) |
| --- | --- |
| 1 | 0.0 |
| 2 | 0.0 |
| 3 | 0.0 |
| 4 | 0.0 |
| 5 | 0.0 |
| 6 | 0.0 |
| 7 | 0.0 |
| 8 | 0.0 |
| 9 | 0.0 |
| 10 | 0.0 |
| 11 | 0.0 |
| 12 | 0.0 |